Entry from Alexandria via LeMat-Bulk: a relaxed structure of MnTeIr2 (PBE).

Geometry as CIF:
```
data_MnTeIr2
_chemical_formula_sum 'Mn1 Te1 Ir2'
_cell_length_a 3.716
_cell_length_b 2.851
_cell_length_c 7.490
_cell_angle_alpha 67.80
_cell_angle_beta 90.00
_cell_angle_gamma 90.00
_space_group_name_H-M_alt 'P 1'
_space_group_IT_number 1
loop_
_space_group_symop_operation_xyz
'x,y,z'
loop_
_atom_site_label
_atom_site_type_symbol
_atom_site_fract_x
_atom_site_fract_y
_atom_site_fract_z
_atom_site_occupancy
Ir1 Ir 0.000 0.818 0.057 1
Ir2 Ir 0.500 0.135 0.241 1
Mn1 Mn 0.000 0.443 0.434 1
Te1 Te 0.500 0.104 0.768 1
```

Calculated values
- E: -28.96 eV/cell
- Space group: Pm, No. 6
- Uncorrected formation energy: 268.4 meV/atom

Entry from Alexandria via LeMat-Bulk: a relaxed structure of MnTe2Ir (PBE).

Geometry as CIF:
```
data_MnTe2Ir
_chemical_formula_sum 'Mn1 Te2 Ir1'
_cell_length_a 3.382
_cell_length_b 3.384
_cell_length_c 6.697
_cell_angle_alpha 90.00
_cell_angle_beta 90.00
_cell_angle_gamma 90.00
_space_group_name_H-M_alt 'P 1'
_space_group_IT_number 1
loop_
_space_group_symop_operation_xyz
'x,y,z'
loop_
_atom_site_label
_atom_site_type_symbol
_atom_site_fract_x
_atom_site_fract_y
_atom_site_fract_z
_atom_site_occupancy
Ir1 Ir 0.500 0.500 0.250 1
Mn1 Mn 0.500 0.500 0.750 1
Te1 Te 0.000 0.000 0.999 1
Te2 Te 0.000 0.000 0.501 1
```

Calculated values
- E: -22.71 eV/cell
- Offset from the most stable computed form: 0.5026 eV per atom
- Space group: P4/mmm, No. 123
- Uncorrected formation energy: 399.9 meV/atom

Entry from Alexandria via LeMat-Bulk: a relaxed structure of MnTeIr2 (PBE).

Geometry as CIF:
```
data_MnTeIr2
_chemical_formula_sum 'Mn1 Te1 Ir2'
_cell_length_a 5.412
_cell_length_b 5.412
_cell_length_c 5.412
_cell_angle_alpha 147.94
_cell_angle_beta 127.82
_cell_angle_gamma 62.57
_space_group_name_H-M_alt 'P 1'
_space_group_IT_number 1
loop_
_space_group_symop_operation_xyz
'x,y,z'
loop_
_atom_site_label
_atom_site_type_symbol
_atom_site_fract_x
_atom_site_fract_y
_atom_site_fract_z
_atom_site_occupancy
Ir1 Ir 0.002 0.002 0.000 1
Ir2 Ir 0.498 0.498 0.000 1
Mn1 Mn 0.750 0.250 0.500 1
Te1 Te 0.250 0.750 0.500 1
```

Calculated values
- E: -28.63 eV/cell
- Space group: Immm, No. 71
- Uncorrected formation energy: 349.9 meV/atom

Entry from Alexandria via LeMat-Bulk: a relaxed structure of MnTe2Ir (PBE).

Geometry as CIF:
```
data_MnTe2Ir
_chemical_formula_sum 'Mn1 Te2 Ir1'
_cell_length_a 4.779
_cell_length_b 4.779
_cell_length_c 4.779
_cell_angle_alpha 60.00
_cell_angle_beta 60.00
_cell_angle_gamma 60.00
_space_group_name_H-M_alt 'P 1'
_space_group_IT_number 1
loop_
_space_group_symop_operation_xyz
'x,y,z'
loop_
_atom_site_label
_atom_site_type_symbol
_atom_site_fract_x
_atom_site_fract_y
_atom_site_fract_z
_atom_site_occupancy
Ir1 Ir 0.500 0.500 0.500 1
Te1 Te 0.250 0.250 0.250 1
Te2 Te 0.750 0.750 0.750 1
Mn1 Mn 0.000 0.000 0.000 1
```

Calculated values
- E: -22.92 eV/cell
- Offset from the most stable computed form: 0.4509 eV per atom
- Space group: Fm-3m, No. 225
- Uncorrected formation energy: 348.2 meV/atom

Entry from Alexandria via LeMat-Bulk: a relaxed structure of MnTe2Ir (PBE).

Geometry as CIF:
```
data_MnTe2Ir
_chemical_formula_sum 'Mn1 Te2 Ir1'
_cell_length_a 4.881
_cell_length_b 4.881
_cell_length_c 4.881
_cell_angle_alpha 60.00
_cell_angle_beta 60.00
_cell_angle_gamma 60.00
_space_group_name_H-M_alt 'P 1'
_space_group_IT_number 1
loop_
_space_group_symop_operation_xyz
'x,y,z'
loop_
_atom_site_label
_atom_site_type_symbol
_atom_site_fract_x
_atom_site_fract_y
_atom_site_fract_z
_atom_site_occupancy
Ir1 Ir 0.500 0.500 0.500 1
Mn1 Mn 0.750 0.750 0.750 1
Te1 Te 0.000 0.000 0.000 1
Te2 Te 0.250 0.250 0.250 1
```

Calculated values
- E: -21.50 eV/cell
- Offset from the most stable computed form: 0.8066 eV per atom
- Space group: F-43m, No. 216
- Uncorrected formation energy: 703.9 meV/atom

Entry from Alexandria via LeMat-Bulk: a relaxed structure of MnTe2Ir (PBE).

Geometry as CIF:
```
data_MnTe2Ir
_chemical_formula_sum 'Mn1 Te2 Ir1'
_cell_length_a 6.624
_cell_length_b 6.624
_cell_length_c 6.624
_cell_angle_alpha 35.75
_cell_angle_beta 35.75
_cell_angle_gamma 35.75
_space_group_name_H-M_alt 'P 1'
_space_group_IT_number 1
loop_
_space_group_symop_operation_xyz
'x,y,z'
loop_
_atom_site_label
_atom_site_type_symbol
_atom_site_fract_x
_atom_site_fract_y
_atom_site_fract_z
_atom_site_occupancy
Ir1 Ir 0.250 0.250 0.250 1
Mn1 Mn 0.750 0.750 0.750 1
Te1 Te 0.992 0.992 0.992 1
Te2 Te 0.508 0.508 0.508 1
```

Calculated values
- E: -23.79 eV/cell
- Offset from the most stable computed form: 0.2349 eV per atom
- Space group: R-3m, No. 166
- Uncorrected formation energy: 132.2 meV/atom

Entry from Alexandria via LeMat-Bulk: a relaxed structure of MnTeIr2 (PBE).

Geometry as CIF:
```
data_MnTeIr2
_chemical_formula_sum 'Mn1 Te1 Ir2'
_cell_length_a 2.894
_cell_length_b 2.894
_cell_length_c 9.213
_cell_angle_alpha 90.00
_cell_angle_beta 90.00
_cell_angle_gamma 118.07
_space_group_name_H-M_alt 'P 1'
_space_group_IT_number 1
loop_
_space_group_symop_operation_xyz
'x,y,z'
loop_
_atom_site_label
_atom_site_type_symbol
_atom_site_fract_x
_atom_site_fract_y
_atom_site_fract_z
_atom_site_occupancy
Ir1 Ir 0.000 0.000 0.029 1
Ir2 Ir 0.000 0.000 0.471 1
Mn1 Mn 0.500 0.500 0.250 1
Te1 Te 0.500 0.500 0.750 1
```

Calculated values
- E: -28.13 eV/cell
- Space group: Cmmm, No. 65
- Uncorrected formation energy: 475.9 meV/atom

Entry from Alexandria via LeMat-Bulk: a relaxed structure of MnTe2Ir (PBE).

Geometry as CIF:
```
data_MnTe2Ir
_chemical_formula_sum 'Mn1 Te2 Ir1'
_cell_length_a 6.607
_cell_length_b 6.607
_cell_length_c 6.607
_cell_angle_alpha 149.12
_cell_angle_beta 144.52
_cell_angle_gamma 47.73
_space_group_name_H-M_alt 'P 1'
_space_group_IT_number 1
loop_
_space_group_symop_operation_xyz
'x,y,z'
loop_
_atom_site_label
_atom_site_type_symbol
_atom_site_fract_x
_atom_site_fract_y
_atom_site_fract_z
_atom_site_occupancy
Ir1 Ir 0.512 0.512 0.000 1
Mn1 Mn 0.316 0.816 0.500 1
Te1 Te 0.969 0.969 0.000 1
Te2 Te 0.703 0.203 0.500 1
```

Calculated values
- E: -23.40 eV/cell
- Offset from the most stable computed form: 0.3306 eV per atom
- Space group: Imm2, No. 44
- Uncorrected formation energy: 227.8 meV/atom

Entry from Alexandria via LeMat-Bulk: a relaxed structure of Mn4TeIr (PBE).

Geometry as CIF:
```
data_Mn4TeIr
_chemical_formula_sum 'Mn4 Te1 Ir1'
_cell_length_a 4.929
_cell_length_b 4.929
_cell_length_c 4.929
_cell_angle_alpha 60.00
_cell_angle_beta 60.00
_cell_angle_gamma 60.00
_space_group_name_H-M_alt 'P 1'
_space_group_IT_number 1
loop_
_space_group_symop_operation_xyz
'x,y,z'
loop_
_atom_site_label
_atom_site_type_symbol
_atom_site_fract_x
_atom_site_fract_y
_atom_site_fract_z
_atom_site_occupancy
Mn1 Mn 0.626 0.626 0.123 1
Mn2 Mn 0.626 0.123 0.626 1
Mn3 Mn 0.626 0.626 0.626 1
Mn4 Mn 0.123 0.626 0.626 1
Te1 Te 0.250 0.250 0.250 1
Ir1 Ir 0.000 0.000 0.000 1
```

Calculated values
- E: -46.27 eV/cell
- Space group: F-43m, No. 216
- Uncorrected formation energy: 401.2 meV/atom

Entry from Alexandria via LeMat-Bulk: a relaxed structure of MnTe2Ir (PBE).

Geometry as CIF:
```
data_MnTe2Ir
_chemical_formula_sum 'Mn1 Te2 Ir1'
_cell_length_a 4.734
_cell_length_b 4.734
_cell_length_c 3.444
_cell_angle_alpha 90.00
_cell_angle_beta 90.00
_cell_angle_gamma 90.01
_space_group_name_H-M_alt 'P 1'
_space_group_IT_number 1
loop_
_space_group_symop_operation_xyz
'x,y,z'
loop_
_atom_site_label
_atom_site_type_symbol
_atom_site_fract_x
_atom_site_fract_y
_atom_site_fract_z
_atom_site_occupancy
Ir1 Ir 0.500 0.000 0.500 1
Mn1 Mn 0.000 0.500 0.500 1
Te1 Te 0.000 0.000 0.000 1
Te2 Te 0.500 0.500 0.000 1
```

Calculated values
- E: -23.09 eV/cell
- Offset from the most stable computed form: 0.4092 eV per atom
- Space group: P4/mmm, No. 123
- Uncorrected formation energy: 306.5 meV/atom

Entry from Alexandria via LeMat-Bulk: a relaxed structure of Mn2TeIr (PBE).

Geometry as CIF:
```
data_Mn2TeIr
_chemical_formula_sum 'Mn2 Te1 Ir1'
_cell_length_a 3.970
_cell_length_b 3.968
_cell_length_c 3.966
_cell_angle_alpha 90.00
_cell_angle_beta 90.00
_cell_angle_gamma 90.00
_space_group_name_H-M_alt 'P 1'
_space_group_IT_number 1
loop_
_space_group_symop_operation_xyz
'x,y,z'
loop_
_atom_site_label
_atom_site_type_symbol
_atom_site_fract_x
_atom_site_fract_y
_atom_site_fract_z
_atom_site_occupancy
Ir1 Ir 0.000 0.500 0.500 1
Mn1 Mn 0.000 0.000 0.000 1
Mn2 Mn 0.500 0.500 0.000 1
Te1 Te 0.500 0.000 0.500 1
```

Calculated values
- E: -29.43 eV/cell
- Space group: P4/mmm, No. 123
- Uncorrected formation energy: 227.3 meV/atom

Entry from Alexandria via LeMat-Bulk: a relaxed structure of Mn2TeIr (PBE).

Geometry as CIF:
```
data_Mn2TeIr
_chemical_formula_sum 'Mn2 Te1 Ir1'
_cell_length_a 3.575
_cell_length_b 3.311
_cell_length_c 6.522
_cell_angle_alpha 59.44
_cell_angle_beta 90.00
_cell_angle_gamma 90.00
_space_group_name_H-M_alt 'P 1'
_space_group_IT_number 1
loop_
_space_group_symop_operation_xyz
'x,y,z'
loop_
_atom_site_label
_atom_site_type_symbol
_atom_site_fract_x
_atom_site_fract_y
_atom_site_fract_z
_atom_site_occupancy
Ir1 Ir 0.500 0.750 0.750 1
Mn1 Mn 0.000 0.013 0.987 1
Mn2 Mn 0.000 0.487 0.513 1
Te1 Te 0.500 0.250 0.250 1
```

Calculated values
- E: -29.45 eV/cell
- Space group: Pmmm, No. 47
- Uncorrected formation energy: 222.5 meV/atom